NpGa2Ag: optimized geometry, PBE.

Summary:
Symmetry: Fm-3m, No. 225
E_form in eV per atom: 0.01
Final energy in eV per atom: -5.45

a = 4.825 Å, b = 4.825 Å, c = 4.825 Å
α = 60.00°, β = 60.00°, γ = 60.00°
Site moments in Bohr magnetons follow the coordinates.
Element x y z (fractional)
1 Ga 0.750 0.750 0.750  0.04
2 Ga 0.250 0.250 0.250  0.04
3 Ag 0.000 0.000 0.000  0.03
4 Np 0.500 0.500 0.500  3.87